First-principles (PBE) data for an optimized crystal structure of Zr2AgAu, as listed in Alexandria via LeMat-Bulk.

For the electronic total energy, the calculation gives -5.710 eV/atom. The value obtained for the density of states at the Fermi level is 0.95 states/eV per atom. As for the calculated formation energy: 0.096 eV per atom.

The space group is I-42d (No. 122) and the conventional cell measures 7.818, 7.818 and 5.639 Å, with angles of 90.00, 90.00 and 90.00 degrees. The inequivalent atoms are Zr at (0.238, 0.750, 0.125), Ag at (0.000, 0.000, 0.500) and Au at (0.000, 0.000, 0.000).